#one
Entry from Alexandria via LeMat-Bulk: crystalline HfAlSbI2 at its relaxed geometry (PBE-GGA).

Cell and atoms, written as POSCAR:
```
HfAlSbI2
1.0
5.691 0.000 0.000
0.000 5.691 0.000
0.000 0.000 5.643
I Sb Hf Al
2 1 1 1
direct
0.000 0.500 0.000
0.500 0.000 0.000
0.000 0.000 0.500
0.000 0.000 0.000
0.500 0.500 0.500
```

Total moment in μB per cell: 0.0
SG: P4/mmm (123)
Volume in Å³ per cell: 183
DOS at the Fermi energy in states/eV/f.u.: 2.97


#two
Entry from Alexandria via LeMat-Bulk: crystalline HfAlSbI2 at its relaxed geometry (PBE-GGA).

Cell and atoms, written as POSCAR:
```
HfAlSbI2
1.0
-3.695 -3.741 -0.753
3.598 -3.066 -2.423
1.312 -2.263 4.811
I Sb Hf Al
2 1 1 1
direct
0.000 0.500 0.000
0.500 0.000 0.000
0.000 0.000 0.500
0.500 0.500 0.500
0.000 0.000 0.000
```

Total moment in μB per cell: 0.8
SG: P4/mmm (123)
Volume in Å³ per cell: 155
DOS at the Fermi energy in states/eV/f.u.: 3.51


#one (47.3 kJ/mol of atoms below the next structure)